# 1
This record from the Alexandria database describes a relaxed TaAl2Zn crystal. The functional is PBE.

abc: 4.521 4.521 4.521
angles: 60.00 60.00 60.00
Positions (direct):
Ta 0.500 0.500 0.500
Al 0.750 0.750 0.750
Zn 0.250 0.250 0.250
Al 0.000 0.000 0.000

Computed properties:
Mass density ... 7.634 g cm⁻³
Formation energy from the elements ... 276.8 meV/atom
Crystal system ... cubic
Space group ... F-43m (216)

=====

# 2
This record from the Alexandria database describes a relaxed LuScZnPd crystal. The functional is PBE.

abc: 4.810 4.810 4.810
angles: 60.00 60.00 60.00
Positions (direct):
Zn 0.000 0.000 0.000
Pd 0.500 0.500 0.500
Sc 0.250 0.250 0.250
Lu 0.750 0.750 0.750

Computed properties:
Mass density ... 8.269 g cm⁻³
Formation energy from the elements ... -628.8 meV/atom
Crystal system ... cubic
Space group ... F-43m (216)

=====

# 3
This record from the Alexandria database describes a relaxed AlMoHRh2 crystal. The functional is PBE.

abc: 3.938 3.938 3.959
angles: 90.00 90.00 90.00
Positions (direct):
H 0.000 0.000 0.000
Rh 0.000 0.500 0.000
Al 0.500 0.500 0.500
Rh 0.500 0.000 0.000
Mo 0.000 0.000 0.500

Computed properties:
Mass density ... 8.917 g cm⁻³
VASP energy ... -6.72 eV per atom
Crystal system ... tetragonal
Space group ... P4/mmm (123)

=====

# 4
This record from the Alexandria database describes a relaxed SrBH2O4 crystal. The functional is PBE.

abc: 3.901 4.832 4.832
angles: 75.17 66.19 66.19
Positions (direct):
H 0.854 0.646 0.646
O 0.398 0.240 0.485
Sr 0.000 0.000 0.000
O 0.123 0.760 0.515
O 0.602 0.515 0.760
O 0.877 0.485 0.240
H 0.146 0.354 0.354
B 0.500 0.500 0.500

Computed properties:
Mass density ... 3.603 g cm⁻³
VASP energy ... -6.07 eV per atom
Crystal system ... orthorhombic
Space group ... I222 (23)

=====

# 5
This record from the Alexandria database describes a relaxed Li3Mg2Tl3 crystal. The functional is PBE.

abc: 4.881 4.826 7.409
angles: 90.00 90.00 90.00
Positions (direct):
Li 0.500 0.500 0.244
Tl 0.500 0.000 0.000
Li 0.500 0.500 0.756
Tl 0.000 0.500 0.500
Mg 0.000 0.000 0.240
Mg 0.000 0.000 0.760
Li 0.000 0.500 0.000
Tl 0.500 0.000 0.500

Computed properties:
Mass density ... 6.494 g cm⁻³
Formation energy from the elements ... -151.2 meV/atom
Crystal system ... orthorhombic
Space group ... Pmmm (47)

=====

# 6
This record from the Alexandria database describes a relaxed Li2LaZr crystal. The functional is PBE.

abc: 3.088 3.088 11.302
angles: 90.00 90.00 114.75
Positions (direct):
Li 0.000 0.000 0.017
Zr 0.500 0.500 0.250
La 0.500 0.500 0.750
Li 0.000 0.000 0.483

Computed properties:
Mass density ... 4.140 g cm⁻³
Formation energy from the elements ... 271.2 meV/atom
Crystal system ... orthorhombic
Space group ... Cmmm (65)

=====

# 7
This record from the Alexandria database describes a relaxed BaNaLi5 crystal. The functional is PBE.

abc: 6.209 10.326 12.798
angles: 90.00 90.00 90.00
Positions (direct):
Li 0.995 0.566 0.814
Na 0.750 0.639 0.364
Li 0.250 0.448 0.391
Li 0.505 0.066 0.686
Li 0.495 0.934 0.314
Li 0.005 0.934 0.314
Ba 0.250 0.246 0.936
Li 0.750 0.552 0.609
Li 0.250 0.187 0.258
Li 0.750 0.813 0.742
Li 0.250 0.083 0.484
Ba 0.750 0.254 0.436
Li 0.250 0.948 0.109
Li 0.505 0.566 0.814
Li 0.750 0.313 0.758
Li 0.005 0.434 0.186
Li 0.995 0.066 0.686
Na 0.250 0.361 0.636
Ba 0.250 0.746 0.564
Li 0.250 0.583 0.016
Li 0.750 0.917 0.516
Ba 0.750 0.754 0.064
Li 0.250 0.687 0.242
Li 0.750 0.052 0.891
Li 0.495 0.434 0.186
Na 0.250 0.861 0.864
Na 0.750 0.139 0.136
Li 0.750 0.417 0.984

Computed properties:
Mass density ... 1.579 g cm⁻³
Formation energy from the elements ... 22.8 meV/atom
Crystal system ... orthorhombic
Space group ... Pnma (62)

=====

# 8
This record from the Alexandria database describes a relaxed Li4HoHg2 crystal. The functional is PBE.

abc: 4.071 3.862 9.547
angles: 101.67 90.00 90.00
Positions (direct):
Ho 0.000 0.000 0.000
Li 0.000 0.680 0.360
Li 0.500 0.188 0.377
Li 0.000 0.320 0.640
Li 0.500 0.812 0.623
Hg 0.500 0.417 0.834
Hg 0.500 0.583 0.166

Computed properties:
Mass density ... 6.709 g cm⁻³
Formation energy from the elements ... -230.8 meV/atom
Crystal system ... orthorhombic
Space group ... Cmmm (65)

=====

# 9
This record from the Alexandria database describes a relaxed LiAc2CdAu6 crystal. The functional is PBE.

abc: 8.714 6.973 5.738
angles: 54.59 72.53 99.26
Positions (direct):
Ac 0.721 0.192 0.522
Au 0.126 0.652 0.160
Au 0.874 0.348 0.840
Au 0.869 0.759 0.820
Au 0.131 0.241 0.180
Au 0.643 0.774 0.303
Li 0.000 0.000 0.000
Ac 0.279 0.808 0.478
Au 0.357 0.226 0.697
Cd 0.500 0.500 0.000

Computed properties:
Mass density ... 11.913 g cm⁻³
Formation energy from the elements ... -550.3 meV/atom
Crystal system ... triclinic
Space group ... P-1 (2)

=====

# 10
This record from the Alexandria database describes a relaxed Ta2OsBr crystal. The functional is PBE.

abc: 3.043 3.043 7.369
angles: 90.00 90.00 90.00
Positions (direct):
Br 0.500 0.500 0.250
Os 0.500 0.500 0.750
Ta 0.000 0.000 0.516
Ta 0.000 0.000 0.984

Computed properties:
Uncorrected formation energy ... 0.14 eV/atom
Mass density ... 15.385 g cm⁻³
Crystal system ... tetragonal
Space group ... P4/mmm (123)

=====

# 11
This record from the Alexandria database describes a relaxed Tm8PtRh2 crystal. The functional is PBE.

abc: 4.910 6.715 8.888
angles: 106.54 106.03 90.00
Positions (direct):
Tm 0.406 0.548 0.812
Pt 0.500 0.000 0.000
Tm 0.967 0.214 0.934
Tm 0.669 0.969 0.338
Tm 0.797 0.684 0.593
Tm 0.331 0.031 0.662
Tm 0.594 0.452 0.188
Tm 0.203 0.316 0.407
Rh 0.813 0.293 0.627
Tm 0.033 0.786 0.066
Rh 0.187 0.707 0.373

Computed properties:
Mass density ... 10.818 g cm⁻³
Formation energy from the elements ... -609.6 meV/atom
Crystal system ... monoclinic
Space group ... C2/m (12)

=====

# 12
This record from the Alexandria database describes a relaxed Dy2MgNb crystal. The functional is PBE.

abc: 3.168 3.168 11.893
angles: 82.35 82.35 60.00
Positions (direct):
Nb 0.000 0.000 0.000
Mg 0.500 0.500 0.500
Dy 0.084 0.084 0.749
Dy 0.916 0.916 0.251

Computed properties:
Mass density ... 7.191 g cm⁻³
Formation energy from the elements ... 511.8 meV/atom
Crystal system ... trigonal
Space group ... R-3m (166)